# 1
# CePmRuCl

A relaxed structure of CePmRuCl (PBE, Alexandria via LeMat-Bulk).

Properties
Magnetization   0.085 μB/atom
Crystal system   trigonal

Cell and atoms, written as CIF:
```
data_CePmRuCl
_cell_length_a 3.9339
_cell_length_b 3.9339
_cell_length_c 23.1804
_cell_angle_alpha 90.00
_cell_angle_beta 90.00
_cell_angle_gamma 120.00
_symmetry_space_group_name_H-M 'R 3 m'
_symmetry_Int_Tables_number 160
_symmetry_space_group_name_Hall 'R 3 -2"'
loop_
_atom_site_label
_atom_site_fract_x
_atom_site_fract_y
_atom_site_fract_z
Ce1 0.0000 0.0000 0.0000
Pm1 0.0000 0.0000 0.1966
Ru1 0.0000 0.0000 0.6083
Cl1 0.0000 0.0000 0.4339
```

# 2
# Li2TmInAu2

A relaxed structure of Li2TmInAu2 (PBE, Alexandria via LeMat-Bulk).

Properties
E_form   -0.578 eV/atom
Magnetization   0.000 μB/atom
Crystal system   trigonal

Cell and atoms, written as CIF:
```
data_Li2TmInAu2
_cell_length_a 4.5423
_cell_length_b 4.5423
_cell_length_c 6.4096
_cell_angle_alpha 90.00
_cell_angle_beta 90.00
_cell_angle_gamma 120.00
_symmetry_space_group_name_H-M 'P -3 m 1'
_symmetry_Int_Tables_number 164
_symmetry_space_group_name_Hall '-P 3 2"'
loop_
_atom_site_label
_atom_site_fract_x
_atom_site_fract_y
_atom_site_fract_z
Li1 0.3333 0.6667 0.1843
Tm1 0.0000 0.0000 0.5000
In1 0.0000 0.0000 0.0000
Au1 0.3333 0.6667 0.7439
```

DOS(E_F) (computed, states/eV/cell): 12.0; 4.6
Calculated total energy (computed, eV for the cell shown): -76.5; -21.1